# 1
Below is a relaxed structure of Tl2P2Br, with properties calculated at the PBE level.

Structure (extended XYZ):
```
5
Lattice="3.525 0.000 0.000 0.000 3.525 0.000 1.762 1.762 10.224" Properties=species:S:1:pos:R:3 pbc="T T T"
Br 0.000 0.000 0.000
P 1.762 3.525 5.112
P 3.525 1.762 5.112
Tl 1.762 1.762 2.247
Tl 3.525 3.525 7.978
```


# 2
Below is a relaxed structure of Tl2PBr, with properties calculated at the PBE level.

Structure (extended XYZ):
```
4
Lattice="0.000 3.758 3.758 3.758 0.000 3.758 3.758 3.758 0.000" Properties=species:S:1:pos:R:3 pbc="T T T"
P 0.000 0.000 0.000
Br 3.758 3.758 3.758
Tl 5.637 5.637 5.637
Tl 1.879 1.879 1.879
```


# 3
Below is a relaxed structure of Tm2PBr2, with properties calculated at the PBE level.

Structure (extended XYZ):
```
5
Lattice="3.880 0.000 0.718 1.874 3.398 0.718 -0.018 -0.011 10.948" Properties=species:S:1:pos:R:3 pbc="T T T"
Tm 3.568 2.107 2.409
Tm 2.168 1.280 9.975
Br 1.323 0.781 3.696
Br 4.413 2.606 8.688
P 0.000 0.000 0.000
```


# 4
Below is a relaxed structure of Tm3PBr3, with properties calculated at the PBE level.

Structure (extended XYZ):
```
14
Lattice="6.422 0.000 2.064 2.879 5.740 2.064 -0.074 -0.046 11.255" Properties=species:S:1:pos:R:3 pbc="T T T"
Br 4.258 1.297 5.137
Br 7.357 3.225 6.515
Br 4.024 5.131 5.822
Br 5.203 0.564 9.561
Br 4.969 4.398 10.246
Br 1.869 2.470 8.867
Tm 5.594 2.162 11.946
Tm 2.532 0.226 10.578
Tm 6.952 1.663 4.132
Tm 6.695 5.468 4.804
Tm 3.633 3.533 3.436
Tm 2.275 4.031 11.251
P 6.201 3.827 2.752
P 3.026 1.867 12.631
```


# 5
Below is a relaxed structure of UPBr, with properties calculated at the PBE level.

Structure (extended XYZ):
```
6
Lattice="3.894 0.000 0.000 0.000 3.903 0.000 1.825 0.000 12.278" Properties=species:S:1:pos:R:3 pbc="T T T"
U 0.802 2.233 2.062
U 2.749 0.282 5.162
P 0.802 2.234 4.864
P 2.749 0.282 2.359
Br 2.626 2.233 11.703
Br 2.750 0.281 7.799
```


# 6
Below is a relaxed structure of UPBr, with properties calculated at the PBE level.

Structure (extended XYZ):
```
12
Lattice="4.749 0.000 0.000 0.000 8.215 0.037 -2.374 -0.839 9.997" Properties=species:S:1:pos:R:3 pbc="T T T"
P 2.374 2.656 5.358
P 0.000 4.720 4.676
P 0.000 0.609 4.824
P 2.374 6.767 5.211
Br 2.374 6.789 1.557
Br 2.374 4.813 8.081
Br 0.000 2.563 1.953
Br 0.000 0.587 8.478
U 2.374 0.689 3.575
U 0.000 6.688 6.460
U 0.000 2.741 6.480
U 2.374 4.635 3.555
```


# 7
Below is a relaxed structure of V2PBr, with properties calculated at the PBE level.

Structure (extended XYZ):
```
8
Lattice="5.663 0.000 0.000 0.000 5.663 0.000 2.832 2.832 5.858" Properties=species:S:1:pos:R:3 pbc="T T T"
P 2.832 5.663 2.929
P 2.832 2.832 0.000
V 7.079 6.819 4.394
V 1.677 4.248 1.465
V 3.987 1.416 1.465
V 4.248 4.508 4.394
Br 0.000 0.000 0.000
Br 5.663 2.832 2.929
```


# 8
Below is a relaxed structure of VPBr2, with properties calculated at the PBE level.

Structure (extended XYZ):
```
4
Lattice="1.885 0.000 10.632 -0.943 1.633 10.632 -0.943 -1.633 10.632" Properties=species:S:1:pos:R:3 pbc="T T T"
P 0.000 0.000 0.000
V 0.000 0.000 15.947
Br 0.000 0.000 3.617
Br 0.000 0.000 28.278
```


# 9
Below is a relaxed structure of VPBr2, with properties calculated at the PBE level.

Structure (extended XYZ):
```
8
Lattice="-9.094 -0.364 -2.492 -1.935 -4.966 7.787 -5.909 -0.705 3.800" Properties=species:S:1:pos:R:3 pbc="T T T"
V -10.259 -1.867 1.977
V 0.000 0.000 0.000
P -6.680 -4.168 7.117
P -5.515 -2.665 2.648
Br -8.270 -1.764 3.638
Br -12.445 -0.990 0.893
Br -11.519 -3.634 3.396
Br -8.802 -1.081 -0.018
```


# 10
Below is a relaxed structure of VP2Br, with properties calculated at the PBE level.

Structure (extended XYZ):
```
8
Lattice="-2.073 -5.408 1.225 1.925 -1.929 -5.255 4.919 -5.053 0.323" Properties=species:S:1:pos:R:3 pbc="T T T"
Br 1.386 -7.064 -0.234
Br 0.000 0.000 0.000
V -0.074 -3.668 -2.015
V 3.385 -5.325 -3.474
P 0.371 -4.373 0.074
P 3.816 -6.723 -1.766
P 3.378 -10.027 -2.787
P 1.978 -3.656 -2.935
```


# 11
Below is a relaxed structure of VP2Br, with properties calculated at the PBE level.

Structure (extended XYZ):
```
4
Lattice="-3.706 -1.944 1.631 -0.991 0.363 4.365 -3.471 2.530 1.312" Properties=species:S:1:pos:R:3 pbc="T T T"
P -6.126 0.712 5.481
P -2.042 0.237 1.827
Br -4.084 0.475 3.654
V 0.000 0.000 0.000
```


# 12
Below is a relaxed structure of VPBr2, with properties calculated at the PBE level.

Structure (extended XYZ):
```
4
Lattice="3.997 -0.339 -2.604 3.037 -3.618 0.742 0.437 -3.463 -3.269" Properties=species:S:1:pos:R:3 pbc="T T T"
Br 5.603 -5.566 -3.847
Br 1.868 -1.855 -1.282
V 3.736 -3.710 -2.565
P 0.000 0.000 0.000
```


Number 1: volume 25.4 Å³ per atom, ΔE_f (raw) -0.11 eV/atom. Number 2: volume 26.5 Å³ per atom, ΔE_f (raw) 0.08 eV/atom. Number 3: volume 28.9 Å³ per atom, ΔE_f (raw) -1.74 eV/atom. Number 4: volume 29.7 Å³ per atom, ΔE_f (raw) -1.56 eV/atom. Number 5: volume 31.1 Å³ per atom, ΔE_f (raw) -0.91 eV/atom. Number 6: volume 32.5 Å³ per atom, ΔE_f (raw) -0.70 eV/atom. Number 7: volume 23.5 Å³ per atom, ΔE_f (raw) 0.06 eV/atom. Number 8: volume 24.5 Å³ per atom, ΔE_f (raw) 0.25 eV/atom. Number 9: volume 25.7 Å³ per atom, ΔE_f (raw) -0.11 eV/atom. Number 10: volume 24.9 Å³ per atom, ΔE_f (raw) 0.36 eV/atom. Number 11: volume 16.0 Å³ per atom, ΔE_f (raw) 0.85 eV/atom. Number 12: volume 19.3 Å³ per atom, ΔE_f (raw) 0.65 eV/atom.